# 1
Compound: MnRhPb
Source: Alexandria via LeMat-Bulk
Functional: PBEsol
Structure: optimized geometry

Results
DOS(E_F) = 0.66 states/eV per atom
Energy of formation = 416 meV/atom

Lattice parameters (Å, degrees): 3.1526 3.1526 6.2505 90.00 90.00 120.00
Last column: nearest neighbours and their distance in Å.
Space group P3m1 (No. 156)
Asymmetric unit:
Mn1 0.0000 0.0000 0.0000 (multiplicity 1)  3 Rh 2.53
Rh1 0.6667 0.3333 0.2807 (multiplicity 1)  3 Mn 2.53, 3 Pb 2.83
Pb1 0.3333 0.6667 0.6270 (multiplicity 1)  3 Rh 2.83, 3 Mn 2.96, 6 Pb 3.15



# 2
Compound: La2BiPt2
Source: Alexandria via LeMat-Bulk
Functional: PBEsol
Structure: optimized geometry

Results
DOS(E_F) = 0.60 states/eV per atom
Energy of formation = -1064 meV/atom

Lattice parameters (Å, degrees): 8.0507 8.0507 3.7790 90.00 90.00 90.00
Last column: nearest neighbours and their distance in Å.
Space group P4/mbm (No. 127)
Asymmetric unit:
La1 0.1737 0.3263 0.0000 (multiplicity 4)  6 Pt 2.98-3.08
Bi1 0.0000 0.0000 0.5000 (multiplicity 2)  4 Pt 3.19, 8 La 3.53
Pt1 0.1238 0.6238 0.5000 (multiplicity 4)  1 Pt 2.82, 6 La 2.98-3.08



# 3
Compound: CaAu3F
Source: Alexandria via LeMat-Bulk
Functional: PBEsol
Structure: optimized geometry

Results
Formation energy (no corrections) = 0.80 eV per atom
DOS(E_F) = 1.34 states/eV per atom

Lattice parameters (Å, degrees): 5.3242 5.3242 5.3242 90.00 90.00 90.00
Last column: nearest neighbours and their distance in Å.
Space group Pm-3m (No. 221)
Asymmetric unit:
Ca1 0.0000 0.0000 0.0000 (multiplicity 1)  6 Au 2.66
Au1 0.0000 0.0000 0.5000 (multiplicity 3)  2 Ca 2.66
F1 0.5000 0.5000 0.5000 (multiplicity 1)  12 Au 3.76



# 4
Compound: YZrHg
Source: Alexandria via LeMat-Bulk
Functional: PBEsol
Structure: optimized geometry

Results
DOS(E_F) = 0.63 states/eV per atom
Energy of formation = -269 meV/atom

Lattice parameters (Å, degrees): 3.3836 3.3836 12.4449 90.00 90.00 90.00
Last column: nearest neighbours and their distance in Å.
Space group I4mm (No. 107)
Asymmetric unit:
Y1 0.0000 0.0000 0.0000 (multiplicity 2)  4 Hg 3.21, 4 Zr 3.27, 4 Y 3.38
Zr1 0.0000 0.0000 0.6792 (multiplicity 2)  4 Hg 3.03, 4 Y 3.27, 4 Zr 3.38
Hg1 0.0000 0.0000 0.3283 (multiplicity 2)  4 Zr 3.03, 4 Y 3.21, 4 Hg 3.38



# 5
Compound: Sb2RuPt
Source: Alexandria via LeMat-Bulk
Functional: PBEsol
Structure: optimized geometry

Results
Formation energy (no corrections) = 0.25 eV per atom
DOS(E_F) = 0.65 states/eV per atom
ΔE to the lowest computed polymorph = 0.248 eV per atom

Lattice parameters (Å, degrees): 5.8639 5.8639 11.7539 90.00 90.00 90.00
Last column: nearest neighbours and their distance in Å.
Space group I-42d (No. 122)
Asymmetric unit:
Sb1 0.2411 0.2500 0.1250 (multiplicity 8)  2 Ru 2.51, 2 Pt 2.57
Ru1 0.0000 0.0000 0.0000 (multiplicity 4)  4 Sb 2.51
Pt1 0.0000 0.0000 0.5000 (multiplicity 4)  4 Sb 2.57



# 6
Compound: YAl8Fe4
Source: Alexandria via LeMat-Bulk
Functional: PBEsol
Structure: optimized geometry

Results
DOS(E_F) = 0.66 states/eV per atom
Energy of formation = -435 meV/atom

Lattice parameters (Å, degrees): 8.6053 8.6053 4.9695 90.00 90.00 90.00
Last column: nearest neighbours and their distance in Å.
Space group I4/mmm (No. 139)
Asymmetric unit:
Y1 0.0000 0.0000 0.0000 (multiplicity 2)  12 Al 2.92-3.13
Al1 0.0000 0.2205 0.5000 (multiplicity 8)  4 Fe 2.50, 6 Al 2.68-2.77
Al2 0.0000 0.3396 0.0000 (multiplicity 8)  4 Fe 2.60, 5 Al 2.69-2.77
Fe1 0.2500 0.2500 0.2500 (multiplicity 8)  2 Fe 2.48, 8 Al 2.50-2.60



# 7
Compound: LiBPd2Pt
Source: Alexandria via LeMat-Bulk
Functional: PBEsol
Structure: optimized geometry

Results
DOS(E_F) = 0.08 states/eV per atom
Energy of formation = -385 meV/atom

Lattice parameters (Å, degrees): 4.1097 4.1097 4.0770 90.00 90.00 90.00
Last column: nearest neighbours and their distance in Å.
Space group P4/mmm (No. 123)
Asymmetric unit:
Li1 0.0000 0.0000 0.0000 (multiplicity 1)  8 Pd 2.89, 4 Pt 2.91
B1 0.5000 0.5000 0.5000 (multiplicity 1)  2 Pt 2.04, 4 Pd 2.05
Pd1 0.0000 0.5000 0.5000 (multiplicity 2)  2 B 2.05
Pt1 0.5000 0.5000 0.0000 (multiplicity 1)  2 B 2.04



# 8
Compound: Hf2CuAsW
Source: Alexandria via LeMat-Bulk
Functional: PBEsol
Structure: optimized geometry

Results
DOS(E_F) = 0.83 states/eV per atom
Energy of formation = 875 meV/atom

Lattice parameters (Å, degrees): 4.7372 4.7372 4.4805 90.00 90.00 90.00
Last column: nearest neighbours and their distance in Å.
Space group P4/mmm (No. 123)
Asymmetric unit:
Hf1 0.0000 0.5000 0.0000 (multiplicity 2)  2 Cu 2.37
Cu1 0.0000 0.0000 0.0000 (multiplicity 1)  2 W 2.24, 4 Hf 2.37
As1 0.5000 0.5000 0.5000 (multiplicity 1)  8 Hf 3.26, 4 W 3.35
W1 0.0000 0.0000 0.5000 (multiplicity 1)  2 Cu 2.24